(1)
Entry from Alexandria: a relaxed Sr4Pa3AgN8 crystal (PBE).

Cell and atoms, written as POSCAR:
```
Sr4Pa3AgN8
1.0
-5.422 -2.401 4.146
3.306 -6.466 0.579
3.557 6.030 1.830
Ag N Sr Pa
1 8 4 3
direct
0.000 0.500 0.000 Ag
0.693 0.704 0.948 N
0.745 0.296 0.489 N
0.307 0.296 0.052 N
0.264 0.291 0.528 N
0.736 0.709 0.472 N
0.255 0.704 0.511 N
0.745 0.296 0.052 N
0.255 0.704 0.948 N
0.000 0.000 0.000 Sr
0.500 0.000 0.500 Sr
0.500 0.000 0.000 Sr
0.000 0.000 0.500 Sr
0.500 0.500 0.000 Pa
0.000 0.500 0.500 Pa
0.500 0.500 0.500 Pa
```

## Properties
Raw formation energy (meV per atom): -1097.2
Final energy (eV/atom): -7.64
ρ (kg/m3): 7752

***

(2)
Entry from Alexandria: a relaxed ReSiSe2 crystal (PBE).

Cell and atoms, written as POSCAR:
```
ReSiSe2
1.0
-6.497 -0.308 0.134
-4.211 -2.423 4.326
4.907 3.894 -1.755
Si Se Re
1 2 1
direct
0.582 0.582 0.000 Si
0.935 0.935 0.000 Se
0.216 0.716 0.500 Se
0.767 0.267 0.500 Re
```

## Properties
Raw formation energy (meV per atom): 414.7
Final energy (eV/atom): -5.80
ρ (kg/m3): 8033

***

(3)
Entry from Alexandria: a relaxed LaNd2ThSb4 crystal (PBE).

Cell and atoms, written as POSCAR:
```
LaNd2ThSb4
1.0
-4.495 -0.166 -0.666
-0.257 -7.034 3.484
-1.181 0.941 7.731
Sb Th Nd La
4 1 2 1
direct
0.500 0.750 0.253 Sb
0.000 0.752 0.746 Sb
0.500 0.250 0.747 Sb
0.000 0.248 0.254 Sb
0.000 0.500 0.500 Th
0.000 0.000 0.000 Nd
0.500 0.000 0.500 Nd
0.500 0.500 0.000 La
```

## Properties
Raw formation energy (meV per atom): -1162.2
Final energy (eV/atom): -5.96
ρ (kg/m3): 7177

***

Number 2 is which compound?
ReSiSe2